Entry 1:
Ta2NiF | PBE with a Hubbard U | optimized geometry

Cell: 4.2784 4.2784 4.2784 Å, 60.00 60.00 60.00°
With the nearest neighbours (Å) after each atom.
Fractional positions:
Ni1 0.5000 0.5000 0.5000  8 Ta 2.62
F1 0.0000 0.0000 0.0000  8 Ta 2.62
Ta1 0.2500 0.2500 0.2500  4 F 2.62, 4 Ni 2.62
Ta2 0.7500 0.7500 0.7500  4 F 2.62, 4 Ni 2.62

Results
D(E_F), states/eV per atom: 1.287
Relative energy among the computed polymorphs, meV per atom: 0

Entry 2:
CoHClF2 | PBE with a Hubbard U | optimized geometry

Cell: 4.6269 4.2494 4.6269 Å, 90.00 90.00 90.00°
With the nearest neighbours (Å) after each atom.
Fractional positions:
H1 0.5000 0.5000 0.5000  8 F 3.14, 4 Co 3.27
F1 0.0000 0.0000 0.5000  2 Cl 2.31
F2 0.5000 0.0000 0.0000  2 Cl 2.31
Co1 0.0000 0.5000 0.0000  2 Cl 2.12
Cl1 0.0000 0.0000 0.0000  2 Co 2.12, 4 F 2.31

Results
D(E_F), states/eV per atom: 0.345

Calculated final energy in order - -6.91; -2.49 eV per atom